Density functional theory data (GGA-PBE) for crystalline NaNbW at its relaxed geometry.

Cell lengths 6.3687, 6.3687, 6.3687 Å; angles 90.00, 90.00, 90.00 degrees
Closest atoms and distances in Å follow each position.
Space group F-43m (No. 216)
Unique sites:
Na: 0.0000 0.0000 0.0000 [4 per cell]  4 Nb 2.76
Nb: 0.2500 0.2500 0.2500 [4 per cell]  4 W 2.76, 4 Na 2.76
W: 0.0000 0.0000 0.5000 [4 per cell]  4 Nb 2.76

Calculated values
Total energy (eV/atom): -6.30
Energy relative to the lowest polymorph listed for this composition (eV per atom): 0.0000


Density functional theory data (GGA-PBE) for crystalline NaNb2Zn at its relaxed geometry.

Cell lengths 6.6550, 6.6550, 6.6550 Å; angles 90.00, 90.00, 90.00 degrees
Closest atoms and distances in Å follow each position.
Space group F-43m (No. 216)
Unique sites:
Na: 0.0000 0.0000 0.0000 [4 per cell]  4 Zn 2.88, 4 Nb 2.88
Nb: 0.0000 0.0000 0.5000 [4 per cell]  4 Nb 2.88, 4 Zn 2.88
Nb: 0.2500 0.2500 0.2500 [4 per cell]  4 Nb 2.88, 4 Na 2.88
Zn: 0.2500 0.2500 0.7500 [4 per cell]  4 Nb 2.88, 4 Na 2.88

Calculated values
Total energy (eV/atom): -4.96


Density functional theory data (GGA-PBE) for crystalline Na2NbZn at its relaxed geometry.

Cell lengths 7.0627, 7.0627, 7.0627 Å; angles 90.00, 90.00, 90.00 degrees
Closest atoms and distances in Å follow each position.
Space group F-43m (No. 216)
Unique sites:
Na: 0.0000 0.0000 0.0000 [4 per cell]  4 Nb 3.06, 4 Na 3.06
Na: 0.2500 0.2500 0.2500 [4 per cell]  4 Na 3.06, 4 Zn 3.06
Nb: 0.2500 0.2500 0.7500 [4 per cell]  4 Zn 3.06, 4 Na 3.06
Zn: 0.0000 0.0000 0.5000 [4 per cell]  4 Nb 3.06, 4 Na 3.06

Calculated values
Total energy (eV/atom): -2.67


Density functional theory data (GGA-PBE) for crystalline NaZrNb at its relaxed geometry.

Cell lengths 6.8003, 6.8003, 6.8003 Å; angles 90.00, 90.00, 90.00 degrees
Closest atoms and distances in Å follow each position.
Space group F-43m (No. 216)
Unique sites:
Na: 0.0000 0.0000 0.0000 [4 per cell]  4 Nb 2.94
Zr: 0.0000 0.0000 0.5000 [4 per cell]  4 Nb 2.94
Nb: 0.2500 0.2500 0.2500 [4 per cell]  4 Zr 2.94, 4 Na 2.94

Calculated values
Total energy (eV/atom): -5.10
Energy relative to the lowest polymorph listed for this composition (eV per atom): 0.0000


Density functional theory data (GGA-PBE) for crystalline NaNd2 at its relaxed geometry.

Cell lengths 9.6713, 9.6713, 9.6713 Å; angles 90.00, 90.00, 90.00 degrees
Closest atoms and distances in Å follow each position.
Space group Fd-3m (No. 227, origin choice 2)
Unique sites:
Na: 0.1250 0.1250 0.1250 [8 per cell]  12 Nd 4.01, 4 Na 4.19
Nd: 0.0000 0.0000 0.5000 [16 per cell]  6 Nd 3.42

Calculated values
Total energy (eV/atom): -3.19
Energy relative to the lowest polymorph listed for this composition (eV per atom): 0.0000


Density functional theory data (GGA-PBE) for crystalline NaNd at its relaxed geometry.

Cell lengths 4.9550, 4.9550, 6.9176 Å; angles 90.00, 90.00, 120.00 degrees
Closest atoms and distances in Å follow each position.
Space group P6_3/mmc (No. 194)
Unique sites:
Na: 0.3333 0.6667 0.2500 [2 per cell]  6 Nd 3.34
Nd: 0.0000 0.0000 0.0000 [2 per cell]  6 Na 3.34, 2 Nd 3.46

Calculated values
Total energy (eV/atom): -2.30
Energy relative to the lowest polymorph listed for this composition (eV per atom): 0.5413


Density functional theory data (GGA-PBE) for crystalline NaNd at its relaxed geometry.

Cell lengths 3.5193, 3.5193, 6.2646 Å; angles 90.00, 90.00, 120.00 degrees
Closest atoms and distances in Å follow each position.
Space group P-6m2 (No. 187)
Unique sites:
Na: 0.0000 0.0000 0.0000 [1 per cell]  6 Na 3.52, 6 Nd 3.73
Nd: 0.6667 0.3333 0.5000 [1 per cell]  6 Nd 3.52, 6 Na 3.73

Calculated values
Total energy (eV/atom): -2.84
Energy relative to the lowest polymorph listed for this composition (eV per atom): 0.0000


Density functional theory data (GGA-PBE) for crystalline NaNd at its relaxed geometry.

Cell lengths 7.0972, 7.0972, 7.0972 Å; angles 90.00, 90.00, 90.00 degrees
Closest atoms and distances in Å follow each position.
Space group F-43m (No. 216)
Unique sites:
Na: 0.0000 0.0000 0.0000 [4 per cell]  4 Nd 3.07
Nd: 0.2500 0.2500 0.7500 [4 per cell]  4 Na 3.07

Calculated values
Total energy (eV/atom): -1.64
Energy relative to the lowest polymorph listed for this composition (eV per atom): 1.1970


Density functional theory data (GGA-PBE) for crystalline NaNd5 at its relaxed geometry.

Cell lengths 6.8140, 6.8140, 5.8664 Å; angles 90.00, 90.00, 120.00 degrees
Closest atoms and distances in Å follow each position.
Space group P6/mmm (No. 191)
Unique sites:
Na: 0.0000 0.0000 0.0000 [1 per cell]  6 Nd 3.93
Nd: 0.0000 0.5000 0.5000 [3 per cell]  8 Nd 3.41-3.53
Nd: 0.3333 0.6667 0.0000 [2 per cell]  9 Nd 3.53-3.93, 3 Na 3.93

Calculated values
Total energy (eV/atom): -3.75


Density functional theory data (GGA-PBE) for crystalline NaNd at its relaxed geometry.

Cell lengths 6.5459, 6.5459, 6.5459 Å; angles 90.00, 90.00, 90.00 degrees
Closest atoms and distances in Å follow each position.
Space group Fm-3m (No. 225)
Unique sites:
Na: 0.0000 0.0000 0.0000 [4 per cell]  6 Nd 3.27
Nd: 0.0000 0.0000 0.5000 [4 per cell]  6 Na 3.27

Calculated values
Total energy (eV/atom): -2.34
Energy relative to the lowest polymorph listed for this composition (eV per atom): 0.5000


Density functional theory data (GGA-PBE) for crystalline Na2Nd at its relaxed geometry.

Cell lengths 7.7477, 7.7477, 7.7477 Å; angles 90.00, 90.00, 90.00 degrees
Closest atoms and distances in Å follow each position.
Space group Fm-3m (No. 225)
Unique sites:
Na: 0.2500 0.2500 0.2500 [8 per cell]  4 Nd 3.35
Nd: 0.0000 0.0000 0.0000 [4 per cell]  8 Na 3.35

Calculated values
Total energy (eV/atom): -1.65
Energy relative to the lowest polymorph listed for this composition (eV per atom): 0.5343


Density functional theory data (GGA-PBE) for crystalline NaNd2 at its relaxed geometry.

Cell lengths 13.5402, 13.5402, 13.5402 Å; angles 90.00, 90.00, 90.00 degrees
Closest atoms and distances in Å follow each position.
Space group Fd-3m (No. 227, origin choice 2)
Unique sites:
Na: 0.1250 0.1250 0.1250 [8 per cell]  4 Nd 2.93
Nd: 0.0000 0.0000 0.0000 [16 per cell]  2 Na 2.93

Calculated values
Total energy (eV/atom): -1.19
Energy relative to the lowest polymorph listed for this composition (eV per atom): 1.9947


Density functional theory data (GGA-PBE) for crystalline NaNd at its relaxed geometry.

Cell lengths 5.1316, 5.1316, 5.7506 Å; angles 90.00, 90.00, 120.00 degrees
Closest atoms and distances in Å follow each position.
Space group P6_3/mmc (No. 194)
Unique sites:
Na: 0.0000 0.0000 0.0000 [2 per cell]  2 Na 2.88
Nd: 0.3333 0.6667 0.2500 [2 per cell]  6 Na 3.29

Calculated values
Total energy (eV/atom): -2.38
Energy relative to the lowest polymorph listed for this composition (eV per atom): 0.4601


Density functional theory data (GGA-PBE) for crystalline Na2Nd at its relaxed geometry.

Cell lengths 6.4481, 6.4481, 10.4198 Å; angles 90.00, 90.00, 120.00 degrees
Closest atoms and distances in Å follow each position.
Space group P6_3/mmc (No. 194)
Unique sites:
Na: 0.0000 0.0000 0.0000 [2 per cell]  6 Na 3.23
Na: 0.1710 0.3419 0.2500 [6 per cell]  6 Na 3.14-3.31
Nd: 0.3333 0.6667 0.5628 [4 per cell]  12 Na 3.73-3.78, 4 Nd 3.90-3.95

Calculated values
Total energy (eV/atom): -2.18
Energy relative to the lowest polymorph listed for this composition (eV per atom): 0.0000


Density functional theory data (GGA-PBE) for crystalline NaNdNiS3 at its relaxed geometry.

Cell lengths 13.1493, 3.9267, 10.9612 Å; angles 90.00, 90.00, 90.00 degrees
Closest atoms and distances in Å follow each position.
Space group Pnma (No. 62)
Unique sites:
Na: 0.2283 0.2500 0.0563 [4 per cell]  4 S 2.85-2.96
Nd: 0.0187 0.2500 0.3390 [4 per cell]  6 S 2.78-2.94
Ni: 0.0057 0.7500 0.0833 [4 per cell]  4 S 2.22-2.29
S: 0.0805 0.7500 0.9017 [4 per cell]  3 Ni 2.22-2.27
S: 0.1148 0.2500 0.5651 [4 per cell]  3 Nd 2.78-2.84, 2 Na 2.85
S: 0.1343 0.7500 0.2239 [4 per cell]  1 Ni 2.29

Calculated values
Total energy (eV/atom): -5.20


Density functional theory data (GGA-PBE) for crystalline NaNdNiS3 at its relaxed geometry.

Cell lengths 16.2685, 4.0591, 7.9324 Å; angles 90.00, 106.01, 90.00 degrees
Closest atoms and distances in Å follow each position.
Space group C2/m (No. 12)
Unique sites:
Na: 0.1211 0.0000 0.0749 [4 per cell]  6 S 2.78-2.96
Nd: 0.1735 0.0000 0.6190 [4 per cell]  6 S 2.72-2.86
Ni: 0.0018 0.5000 0.7021 [4 per cell]  5 S 2.33-2.58
S: 0.0000 0.0000 0.5000 [2 per cell]  4 Ni 2.58, 2 Nd 2.72
S: 0.0000 0.5000 0.0000 [2 per cell]  2 Ni 2.37
S: 0.1485 0.5000 0.8347 [4 per cell]  1 Ni 2.33
S: 0.1504 0.5000 0.3568 [4 per cell]  1 Ni 2.39

Calculated values
Total energy (eV/atom): -5.08


Density functional theory data (GGA-PBE) for crystalline NaNdNiS3 at its relaxed geometry.

Cell lengths 7.9107, 3.9339, 9.3443 Å; angles 90.00, 102.63, 90.00 degrees
Closest atoms and distances in Å follow each position.
Space group P2_1/m (No. 11)
Unique sites:
Na: 0.2167 0.2500 0.2457 [2 per cell]  4 S 2.86-2.89
Nd: 0.3093 0.7500 0.8591 [2 per cell]  6 S 2.78-2.92
Ni: 0.0755 0.2500 0.5893 [2 per cell]  4 S 2.20-2.30
S: 0.0552 0.2500 0.8311 [2 per cell]  1 Ni 2.30
S: 0.1934 0.7500 0.5399 [2 per cell]  3 Ni 2.20-2.27
S: 0.4400 0.7500 0.1618 [2 per cell]  3 Nd 2.79-2.83, 2 Na 2.86

Calculated values
Total energy (eV/atom): -5.20


Density functional theory data (GGA-PBE) for crystalline NaNdNiS3 at its relaxed geometry.

Cell lengths 10.9603, 4.0096, 11.4157 Å; angles 90.00, 90.00, 90.00 degrees
Closest atoms and distances in Å follow each position.
Space group Pnma (No. 62)
Unique sites:
Na: 0.1668 0.2500 0.0031 [4 per cell]  7 S 2.94-3.14
Nd: 0.0143 0.2500 0.6769 [4 per cell]  7 S 2.84-2.94
Ni: 0.2493 0.2500 0.2874 [4 per cell]  4 S 2.24-2.26
S: 0.0544 0.7500 0.8483 [4 per cell]  1 Ni 2.26
S: 0.1220 0.2500 0.4429 [4 per cell]  1 Ni 2.26
S: 0.2233 0.7500 0.2032 [4 per cell]  2 Ni 2.24

Calculated values
Total energy (eV/atom): -5.21


Density functional theory data (GGA-PBE) for crystalline NaNdNiS3 at its relaxed geometry.

Cell lengths 10.8201, 3.9949, 11.5233 Å; angles 90.00, 90.00, 90.00 degrees
Closest atoms and distances in Å follow each position.
Space group Pnma (No. 62)
Unique sites:
Na: 0.1649 0.2500 0.0011 [4 per cell]  7 S 2.90-3.14
Nd: 0.0208 0.2500 0.3250 [4 per cell]  7 S 2.83-2.95
Ni: 0.2418 0.2500 0.7195 [4 per cell]  4 S 2.24-2.26
S: 0.0613 0.7500 0.1551 [4 per cell]  1 Ni 2.26
S: 0.1204 0.2500 0.5601 [4 per cell]  1 Ni 2.26
S: 0.2142 0.7500 0.8042 [4 per cell]  2 Ni 2.24

Calculated values
Total energy (eV/atom): -5.21


Density functional theory data (GGA-PBE) for crystalline NaNdNiS3 at its relaxed geometry.

Cell lengths 7.9103, 3.9952, 15.5170 Å; angles 90.00, 90.00, 90.00 degrees
Closest atoms and distances in Å follow each position.
Space group Pnma (No. 62)
Unique sites:
Na: 0.0850 0.2500 0.2172 [4 per cell]  7 S 2.89-3.14
Nd: 0.2474 0.2500 0.9522 [4 per cell]  7 S 2.78-2.98
Ni: 0.1237 0.2500 0.6385 [4 per cell]  4 S 2.19-2.29
S: 0.0072 0.7500 0.5967 [4 per cell]  2 Ni 2.29
S: 0.1287 0.7500 0.0627 [4 per cell]  1 Ni 2.28
S: 0.1786 0.2500 0.7767 [4 per cell]  1 Ni 2.19

Calculated values
Total energy (eV/atom): -5.15


Density functional theory data (GGA-PBE) for crystalline NaNdNp at its relaxed geometry.

Cell lengths 7.3673, 7.3673, 7.3673 Å; angles 90.00, 90.00, 90.00 degrees
Closest atoms and distances in Å follow each position.
Space group F-43m (No. 216)
Unique sites:
Na: 0.0000 0.0000 0.0000 [4 per cell]  4 Nd 3.19, 4 Np 3.19
Nd: 0.2500 0.2500 0.7500 [4 per cell]  4 Na 3.19
Np: 0.2500 0.2500 0.2500 [4 per cell]  4 Na 3.19

Calculated values
Total energy (eV/atom): -4.98
Energy relative to the lowest polymorph listed for this composition (eV per atom): 0.0000


Density functional theory data (GGA-PBE) for crystalline NaNdPO at its relaxed geometry.

Cell lengths 3.7692, 8.0171, 6.0151 Å; angles 90.00, 90.00, 90.00 degrees
Closest atoms and distances in Å follow each position.
Space group Pmc2_1 (No. 26)
Unique sites:
Na: 0.0000 0.0878 0.0000 [2 per cell]  2 O 2.20-2.29
Nd: 0.5000 0.3098 0.4049 [2 per cell]  2 O 2.21
P: 0.5000 0.3352 0.8930 [2 per cell]  2 Na 2.81, 3 Nd 2.85-3.09
O: 0.0000 0.1679 0.3662 [2 per cell]  2 Na 2.20-2.29, 2 Nd 2.21

Calculated values
Total energy (eV/atom): -5.55
Energy relative to the lowest polymorph listed for this composition (eV per atom): 0.1049


Density functional theory data (GGA-PBE) for crystalline NaNdPO at its relaxed geometry.

Cell lengths 3.9835, 3.9835, 10.2250 Å; angles 90.00, 90.00, 90.00 degrees
Closest atoms and distances in Å follow each position.
Space group P4/nmm (No. 129, origin choice 2)
Unique sites:
Na: 0.2500 0.7500 0.0000 [2 per cell]  4 Na 2.82, 4 P 2.87
Nd: 0.2500 0.2500 0.3822 [2 per cell]  4 O 2.33
P: 0.2500 0.2500 0.7983 [2 per cell]  4 Na 2.87
O: 0.2500 0.7500 0.5000 [2 per cell]  4 Nd 2.33

Calculated values
Total energy (eV/atom): -5.66
Energy relative to the lowest polymorph listed for this composition (eV per atom): 0.0000


Density functional theory data (GGA-PBE) for crystalline NaNdPO at its relaxed geometry.

Cell lengths 5.8004, 5.8004, 4.9781 Å; angles 90.00, 90.00, 90.00 degrees
Closest atoms and distances in Å follow each position.
Space group P4/nmm (No. 129, origin choice 2)
Unique sites:
Na: 0.2500 0.2500 0.0043 [2 per cell]  2 P 2.49
Nd: 0.2500 0.7500 0.5000 [2 per cell]  2 O 2.49
P: 0.2500 0.2500 0.5044 [2 per cell]  2 Na 2.49
O: 0.2500 0.7500 0.0000 [2 per cell]  2 Nd 2.49

Calculated values
Total energy (eV/atom): -5.28
Energy relative to the lowest polymorph listed for this composition (eV per atom): 0.3738